1.
KBaYFe2, relaxed, DFT GGA-PBE; M_tot = 0.2 μB per formula unit; density = 3.957 Mg/m³; space group = No. 123; final energy = -18.71 eV/cell; energy relative to the elements = 1.540 eV/atom
1.0
5.039 0.000 0.000
0.000 5.039 0.000
0.000 0.000 6.231
K Ba Y Fe
1 1 1 2
direct
0.000 0.000 0.000 K
0.500 0.500 0.000 Ba
0.500 0.500 0.500 Y
0.000 0.500 0.500 Fe
0.500 0.000 0.500 Fe



2.
TmHf2Zr, relaxed, DFT GGA-PBE; M_tot = 0.0 μB per formula unit; density = 10.569 Mg/m³; space group = No. 123; energy relative to the lowest polymorph listed for this composition = 52 meV/atom; final energy = -32.35 eV/cell; energy relative to the elements = 0.144 eV/atom
1.0
3.758 0.000 0.000
0.000 3.758 0.000
0.000 0.000 6.866
Tm Hf Zr
1 2 1
direct
0.000 0.000 0.000 Tm
0.500 0.500 0.285 Hf
0.500 0.500 0.715 Hf
0.000 0.000 0.500 Zr



3.
CeScCdRu, relaxed, DFT GGA-PBE; M_tot = 0.0 μB per formula unit; density = 7.711 Mg/m³; space group = No. 99; energy relative to the lowest polymorph listed for this composition = 0 meV/atom; final energy = -24.06 eV/cell; energy relative to the elements = -0.400 eV/atom
1.0
3.250 0.000 0.000
0.000 3.250 0.000
0.000 0.000 8.127
Ce Sc Cd Ru
1 1 1 1
direct
0.000 0.000 0.000 Ce
0.000 0.000 0.586 Sc
0.500 0.500 0.316 Cd
0.500 0.500 0.773 Ru



4.
HfGe3Se, relaxed, DFT GGA-PBE; M_tot = 0.0 μB per formula unit; ΔE_f (raw) = 640 meV per atom; density = 5.567 Mg/m³; space group = No. 221; energy relative to the lowest polymorph listed for this composition = 0 meV/atom; final energy = -24.09 eV/cell
1.0
5.215 0.000 0.000
0.000 5.215 0.000
0.000 0.000 5.215
Hf Ge Se
1 3 1
direct
0.000 0.000 0.000 Hf
0.000 0.000 0.500 Ge
0.000 0.500 0.000 Ge
0.500 0.000 0.000 Ge
0.500 0.500 0.500 Se



5.
Na3TaPb2Se6, relaxed, DFT GGA-PBE; M_tot = 0.0 μB per formula unit; ΔE_f (raw) = -836 meV per atom; density = 5.956 Mg/m³; space group = No. 12; final energy = -54.17 eV/cell
1.0
3.672 -6.359 0.000
3.672 6.359 0.000
-2.508 0.000 6.794
Na Ta Pb Se
3 1 2 6
direct
0.000 0.000 0.000 Na
0.327 0.673 0.000 Na
0.673 0.327 0.000 Na
0.500 0.500 0.500 Ta
0.166 0.834 0.500 Pb
0.834 0.166 0.500 Pb
0.132 0.424 0.272 Se
0.287 0.287 0.724 Se
0.424 0.132 0.272 Se
0.576 0.868 0.728 Se
0.713 0.713 0.276 Se
0.868 0.576 0.728 Se



6.
SrLaHfCr2, relaxed, DFT GGA-PBE; M_tot = 7.4 μB per formula unit; density = 5.494 Mg/m³; space group = No. 123; final energy = -29.06 eV/cell; energy relative to the elements = 1.349 eV/atom
1.0
5.326 0.000 0.000
0.000 5.326 0.000
0.000 0.000 5.424
Sr La Hf Cr
1 1 1 2
direct
0.000 0.000 0.000 Sr
0.500 0.500 0.500 La
0.500 0.500 0.000 Hf
0.000 0.500 0.500 Cr
0.500 0.000 0.500 Cr



7.
Ag2IrW2, relaxed, DFT GGA-PBE; M_tot = 0.0 μB per formula unit; density = 13.992 Mg/m³; space group = No. 139; energy relative to the lowest polymorph listed for this composition = 0 meV/atom; final energy = -35.72 eV/cell; energy relative to the elements = 0.951 eV/atom
1.0
-1.789 1.789 7.193
1.789 -1.789 7.193
1.789 1.789 -7.193
Ag Ir W
2 1 2
direct
0.250 0.750 0.500 Ag
0.750 0.250 0.500 Ag
0.000 0.000 0.000 Ir
0.419 0.419 0.000 W
0.581 0.581 0.000 W



8.
Ta4AlAg, relaxed, DFT GGA-PBE; M_tot = 0.0 μB per formula unit; density = 12.393 Mg/m³; space group = No. 216; final energy = -51.12 eV/cell; energy relative to the elements = 0.480 eV/atom
1.0
0.000 3.860 3.860
3.860 0.000 3.860
3.860 3.860 0.000
Ta Al Ag
4 1 1
direct
0.376 0.376 0.376 Ta
0.376 0.376 0.872 Ta
0.376 0.872 0.376 Ta
0.872 0.376 0.376 Ta
0.750 0.750 0.750 Al
0.000 0.000 0.000 Ag